(1)
# Tl2OsPt3O12

A relaxed structure of Tl2OsPt3O12 (PBE-GGA, the Alexandria database).

Lattice parameters (Å, degrees): 7.2500 7.2500 7.2500 59.14 59.14 59.14
Last column: nearest neighbours and their distance in Å.
Fractional coordinates of all 18 atoms:
Tl 0.6165 0.6165 0.6165  3 O 2.88
Tl 0.3836 0.3836 0.3836  3 O 2.88
Os 0.0000 0.0000 0.0000  6 O 1.88
Pt 0.5000 0.0000 0.0000  6 O 1.98-1.99
Pt 0.0000 0.5000 0.0000  6 O 1.98-1.99
Pt 0.0000 0.0000 0.5000  6 O 1.98-1.99
O 0.3339 0.3339 0.9251  2 Pt 1.98
O 0.9332 0.9332 0.3100  1 Os 1.88, 1 Pt 1.99
O 0.3100 0.9332 0.9332  1 Os 1.88, 1 Pt 1.99
O 0.9251 0.3339 0.3339  2 Pt 1.98
O 0.9332 0.3100 0.9332  1 Os 1.88, 1 Pt 1.99
O 0.3339 0.9251 0.3339  2 Pt 1.98
O 0.6661 0.6661 0.0749  2 Pt 1.98
O 0.0668 0.0668 0.6900  1 Os 1.88, 1 Pt 1.99
O 0.6900 0.0668 0.0668  1 Os 1.88, 1 Pt 1.99
O 0.0749 0.6661 0.6661  2 Pt 1.98
O 0.0668 0.6900 0.0668  1 Os 1.88, 1 Pt 1.99
O 0.6661 0.0749 0.6661  2 Pt 1.98

The calculation puts the uncorrected formation energy at -0.574 eV/atom. The density is 8.7 g/cm3. The total energy comes out at -5.77 eV per atom. Its symmetry is R-3m.



(2)
# Y2CoAu

A relaxed structure of Y2CoAu (PBE-GGA, the Alexandria database).

Lattice parameters (Å, degrees): 3.8887 3.8887 7.5171 75.10 75.10 59.82
Last column: nearest neighbours and their distance in Å.
Fractional coordinates of all 4 atoms:
Au 0.7500 0.7500 0.7500  6 Y 3.05
Co 0.2500 0.2500 0.2500  6 Y 2.71
Y 0.9871 0.9871 0.0383  3 Co 2.71
Y 0.5129 0.5129 0.4617  3 Co 2.71

The formation energy comes out at -0.326 eV per atom. The density is 7.7 g/cm3. The total energy comes out at -6.15 eV per atom. Its symmetry is C2/m.



(3)
# TbBiAu4

A relaxed structure of TbBiAu4 (PBE-GGA, the Alexandria database).

Lattice parameters (Å, degrees): 5.6947 5.6947 5.6947 60.00 60.00 60.00
Last column: nearest neighbours and their distance in Å.
Fractional coordinates of all 6 atoms:
Tb 0.0000 0.0000 0.0000  12 Au 3.34, 4 Bi 3.49
Au 0.6253 0.6253 0.1240  6 Au 2.84-2.85
Au 0.6253 0.1240 0.6253  6 Au 2.84-2.85
Au 0.6253 0.6253 0.6253  6 Au 2.84-2.85
Au 0.1240 0.6253 0.6253  6 Au 2.84-2.85
Bi 0.2500 0.2500 0.2500  12 Au 3.34, 4 Tb 3.49

The formation energy comes out at -0.424 eV per atom. The density is 14.7 g/cm3. The value obtained for the energy above the most stable polymorph in this dataset is 16 meV per atom. The total energy comes out at -4.03 eV per atom. Its symmetry is F-43m.